The following is a PBE calculation of La8TbPm6 after structural relaxation, from the Alexandria database.

a b c (Å): 9.7929 9.7929 8.5746
angles (deg): 55.18 55.18 60.00
Atoms (fractional coordinates):
Pm 0.5821 0.0981 0.0475
Pm 0.0981 0.2723 0.0475
La 0.4220 0.4220 0.7341
Pm 0.4179 0.9019 0.9525
La 0.5780 0.5780 0.2659
La 0.3484 0.2287 0.5017
La 0.0788 0.6516 0.4983
Pm 0.2723 0.5821 0.0475
Pm 0.9019 0.7277 0.9525
Tb 0.0000 0.0000 0.0000
Pm 0.7277 0.4179 0.9525
La 0.9212 0.3484 0.5017
La 0.6516 0.7713 0.4983
La 0.7713 0.0788 0.4983
La 0.2287 0.9212 0.5017

Properties
As for the offset from the most stable computed form: 112 meV per atom. The total moment is 0.00 μB/f.u. The energy of formation comes out at 134 meV per atom.